Entry 1:
! LiCd2Hg | the Alexandria database | meta-GGA SCAN | single point on PBEsol structure; values from VASP
&SYSTEM
  ibrav = 0, nat = 4, ntyp = 3
/
ATOMIC_SPECIES
Cd 112.41 Cd.upf
Hg 200.59 Hg.upf
Li 6.94 Li.upf
CELL_PARAMETERS angstrom
-0.878 2.629 1.304
-4.144 -0.777 -1.224
-0.761 -3.472 4.780
ATOMIC_POSITIONS angstrom
Cd -0.034 0.060 0.079
Hg -1.218 0.624 3.729
Cd -2.756 0.305 1.263
Li -3.033 -1.714 3.484
! * energy relative to the elements: -0.80 eV per formula unit
! * V: 19.9 Å³ per atom

Entry 2:
! LiCd2Hg | the Alexandria database | meta-GGA SCAN | single point on PBEsol structure; values from VASP
&SYSTEM
  ibrav = 0, nat = 4, ntyp = 3
/
ATOMIC_SPECIES
Cd 112.41 Cd.upf
Li 6.94 Li.upf
Hg 200.59 Hg.upf
CELL_PARAMETERS angstrom
2.999 0.012 0.000
-0.204 5.179 0.000
-1.397 -2.596 5.163
ATOMIC_POSITIONS angstrom
Cd -0.699 -1.298 2.581
Li -0.102 2.589 0.000
Hg 1.499 0.006 0.000
Cd 0.699 1.298 2.581
! * energy relative to the elements: -0.69 eV per formula unit
! * V: 20.0 Å³ per atom

Entry 3:
! LiCdHg | the Alexandria database | meta-GGA SCAN | single point on PBEsol structure; values from VASP
&SYSTEM
  ibrav = 0, nat = 3, ntyp = 3
/
ATOMIC_SPECIES
Cd 112.41 Cd.upf
Li 6.94 Li.upf
Hg 200.59 Hg.upf
CELL_PARAMETERS angstrom
-2.866 -1.733 -1.072
1.944 -1.771 -2.335
1.251 -1.475 4.808
ATOMIC_POSITIONS angstrom
Cd 0.320 -4.944 1.368
Li 0.520 -2.123 2.043
Hg -0.182 -2.891 -0.607
! * energy relative to the elements: -0.93 eV per formula unit
! * V: 18.7 Å³ per atom